Compound: Rb6GeCl8
Source: Alexandria
Functional: GGA-PBE
Structure: relaxed

Cell and atoms, written as CIF:
```
data_Rb6GeCl8
_symmetry_space_group_name_H-M 'P 1'
_symmetry_Int_Tables_number 1
_cell_length_a 8.5006
_cell_length_b 8.5006
_cell_length_c 8.5006
_cell_angle_alpha 69.37
_cell_angle_beta 69.37
_cell_angle_gamma 69.37
loop_
_symmetry_equiv_pos_as_xyz
'x,y,z'
loop_
_atom_site_label
_atom_site_fract_x
_atom_site_fract_y
_atom_site_fract_z
_atom_site_occupancy
Cl1 0.0926 0.8436 0.3081 1
Rb1 0.3005 0.9400 0.5171 1
Cl2 0.3081 0.0926 0.8436 1
Cl3 0.6919 0.9074 0.1564 1
Cl4 0.8436 0.3081 0.0926 1
Cl5 0.6569 0.6569 0.6569 1
Cl6 0.3431 0.3431 0.3431 1
Cl7 0.9074 0.1564 0.6919 1
Cl8 0.1564 0.6919 0.9074 1
Rb2 0.6995 0.0600 0.4829 1
Rb3 0.9400 0.5171 0.3005 1
Rb4 0.0600 0.4829 0.6995 1
Rb5 0.4829 0.6995 0.0600 1
Rb6 0.5171 0.3005 0.9400 1
Ge1 0.0000 0.0000 0.0000 1
```

## Properties
**Formation energy without anion corrections**: -1.70 eV/atom
**Calculated volume**: 34.6 A^3/atom
**DFT total energy**: -3.375 eV per atom